Here is NdAsRhN after structural relaxation from Alexandria via LeMat-Bulk. Energies are from PBE-GGA.

Raw formation energy, meV per atom: -850
E, eV per formula unit: -28.5

Cell: 3.9636 3.9636 8.6338 Å, 90.00 90.00 90.00°
With the nearest neighbours (Å) after each atom.
Fractional positions:
As: 0.0000 0.5000 0.3358  1 N 1.89
As: 0.5000 0.0000 0.6642  1 N 1.89
N: 0.0000 0.5000 0.1173  1 As 1.89
N: 0.5000 0.0000 0.8827  1 As 1.89
Nd: 0.5000 0.0000 0.1537  1 N 2.34
Nd: 0.0000 0.5000 0.8463  1 N 2.34
Rh: 0.0000 0.0000 0.5000  4 As 2.44
Rh: 0.5000 0.5000 0.5000  4 As 2.44